A plane-wave DFT calculation with PBE was carried out for a relaxed structure of Sr2OsPb.

Calculated values
E: -16.355 eV per cell
spin magnetization: 0.000 μB/atom

Lattice parameters (Å, degrees): 5.5207 5.5207 5.5207 126.65 126.65 78.82
Closest atoms and distances in Å follow each position.
Fractional coordinates of all 4 atoms:
1 Os 0.5000 0.5000 0.0000  8 Sr 3.27-3.51, 4 Pb 3.27
2 Pb 0.7500 0.2500 0.5000  8 Sr 3.27-3.51, 4 Os 3.27
3 Sr 0.0000 0.0000 0.0000  4 Pb 3.27, 4 Sr 3.27, 4 Os 3.51
4 Sr 0.2500 0.7500 0.5000  4 Os 3.27, 4 Sr 3.27, 4 Pb 3.51